1.
Density functional theory data (PBE) for a relaxed Ta2SiB crystal.

Cell and atoms, written as CIF:
```
data_Ta2SiB
_cell_length_a 3.3019
_cell_length_b 3.3019
_cell_length_c 18.5250
_cell_angle_alpha 90.00
_cell_angle_beta 90.00
_cell_angle_gamma 120.00
_symmetry_space_group_name_H-M 'R -3 m'
_symmetry_Int_Tables_number 166
_symmetry_space_group_name_Hall '-R 3 2"'
loop_
_atom_site_label
_atom_site_fract_x
_atom_site_fract_y
_atom_site_fract_z
Ta1 0.0000 0.0000 0.2339
Si1 0.0000 0.0000 0.0000
B1 0.0000 0.0000 0.5000
```

---

2.
Density functional theory data (PBE) for a relaxed Ta2SiB crystal.

Cell and atoms, written as CIF:
```
data_Ta2SiB
_cell_length_a 6.4973
_cell_length_b 6.4973
_cell_length_c 5.5774
_cell_angle_alpha 90.00
_cell_angle_beta 90.00
_cell_angle_gamma 90.00
_symmetry_space_group_name_H-M 'I -4 2 d'
_symmetry_Int_Tables_number 122
_symmetry_space_group_name_Hall 'I -4 2bw'
loop_
_atom_site_label
_atom_site_fract_x
_atom_site_fract_y
_atom_site_fract_z
Ta1 0.2168 0.2500 0.1250
Si1 0.0000 0.0000 0.5000
B1 0.0000 0.0000 0.0000
```

---

Which of them is the least stable? Correct choice: 2.

---

1.
Density functional theory data (PBE) for a relaxed Ta2SiB crystal.

Cell and atoms, written as CIF:
```
data_Ta2SiB
_cell_length_a 6.0775
_cell_length_b 6.0775
_cell_length_c 6.0775
_cell_angle_alpha 90.00
_cell_angle_beta 90.00
_cell_angle_gamma 90.00
_symmetry_space_group_name_H-M 'F m -3 m'
_symmetry_Int_Tables_number 225
_symmetry_space_group_name_Hall '-F 4 2 3'
loop_
_atom_site_label
_atom_site_fract_x
_atom_site_fract_y
_atom_site_fract_z
Ta1 0.2500 0.2500 0.2500
Si1 0.0000 0.0000 0.0000
B1 0.0000 0.0000 0.5000
```

---

2.
Density functional theory data (PBE) for a relaxed Ta2SiB crystal.

Cell and atoms, written as CIF:
```
data_Ta2SiB
_cell_length_a 4.8974
_cell_length_b 3.3206
_cell_length_c 6.9735
_cell_angle_alpha 90.00
_cell_angle_beta 109.11
_cell_angle_gamma 90.00
_symmetry_space_group_name_H-M 'P 1 21/m 1'
_symmetry_Int_Tables_number 11
loop_
_symmetry_equiv_pos_as_xyz
'x,y,z'
'-x,-y,-z'
'-x,y+1/2,-z'
'x,-y+1/2,z'
loop_
_atom_site_label
_atom_site_fract_x
_atom_site_fract_y
_atom_site_fract_z
Ta1 0.1985 0.2500 0.4107
Ta2 0.2602 0.7500 0.0584
Si1 0.3601 0.7500 0.7150
B1 0.1318 0.2500 0.7889
```

---

Which of them is the least stable? Correct choice: 1.

---

1.
Density functional theory data (PBE) for a relaxed TaTi2SiB crystal.

Cell and atoms, written as CIF:
```
data_TaTi2SiB
_cell_length_a 4.8019
_cell_length_b 4.8019
_cell_length_c 4.7721
_cell_angle_alpha 90.00
_cell_angle_beta 90.00
_cell_angle_gamma 90.00
_symmetry_space_group_name_H-M 'P 4/m m m'
_symmetry_Int_Tables_number 123
_symmetry_space_group_name_Hall '-P 4 2'
loop_
_atom_site_label
_atom_site_fract_x
_atom_site_fract_y
_atom_site_fract_z
Ta1 0.0000 0.0000 0.0000
Ti1 0.0000 0.5000 0.0000
Si1 0.0000 0.0000 0.5000
B1 0.5000 0.5000 0.5000
```

---

2.
Density functional theory data (PBE) for a relaxed TaTi2SiB crystal.

Cell and atoms, written as CIF:
```
data_TaTi2SiB
_cell_length_a 4.8176
_cell_length_b 4.8176
_cell_length_c 4.1908
_cell_angle_alpha 90.00
_cell_angle_beta 90.00
_cell_angle_gamma 90.00
_symmetry_space_group_name_H-M 'P 4/m m m'
_symmetry_Int_Tables_number 123
_symmetry_space_group_name_Hall '-P 4 2'
loop_
_atom_site_label
_atom_site_fract_x
_atom_site_fract_y
_atom_site_fract_z
Ta1 0.0000 0.0000 0.0000
Ti1 0.0000 0.5000 0.0000
Si1 0.5000 0.5000 0.5000
B1 0.0000 0.0000 0.5000
```

---

Which of them is the least stable? Correct choice: 1.

---

1.
Density functional theory data (PBE) for a relaxed SiTc2B crystal.

Cell and atoms, written as CIF:
```
data_SiTc2B
_cell_length_a 3.0150
_cell_length_b 3.0150
_cell_length_c 18.7996
_cell_angle_alpha 90.00
_cell_angle_beta 90.00
_cell_angle_gamma 120.00
_symmetry_space_group_name_H-M 'R 3 m'
_symmetry_Int_Tables_number 160
_symmetry_space_group_name_Hall 'R 3 -2"'
loop_
_atom_site_label
_atom_site_fract_x
_atom_site_fract_y
_atom_site_fract_z
Si1 0.0000 0.0000 0.0000
Tc1 0.0000 0.0000 0.5706
Tc2 0.0000 0.0000 0.7621
B1 0.0000 0.0000 0.1658
```

---

2.
Density functional theory data (PBE) for a relaxed SiTc2B crystal.

Cell and atoms, written as CIF:
```
data_SiTc2B
_cell_length_a 6.8569
_cell_length_b 6.8569
_cell_length_c 4.4347
_cell_angle_alpha 90.00
_cell_angle_beta 90.00
_cell_angle_gamma 90.00
_symmetry_space_group_name_H-M 'I -4 2 d'
_symmetry_Int_Tables_number 122
_symmetry_space_group_name_Hall 'I -4 2bw'
loop_
_atom_site_label
_atom_site_fract_x
_atom_site_fract_y
_atom_site_fract_z
Si1 0.0000 0.0000 0.0000
Tc1 0.1548 0.2500 0.6250
B1 0.0000 0.0000 0.5000
```

---

Which of them is the least stable? Correct choice: 2.

---

1.
Density functional theory data (PBE) for a relaxed SiTc2B crystal.

Cell and atoms, written as CIF:
```
data_SiTc2B
_cell_length_a 5.7424
_cell_length_b 5.7424
_cell_length_c 5.7424
_cell_angle_alpha 90.00
_cell_angle_beta 90.00
_cell_angle_gamma 90.00
_symmetry_space_group_name_H-M 'F m -3 m'
_symmetry_Int_Tables_number 225
_symmetry_space_group_name_Hall '-F 4 2 3'
loop_
_atom_site_label
_atom_site_fract_x
_atom_site_fract_y
_atom_site_fract_z
Si1 0.0000 0.0000 0.0000
Tc1 0.2500 0.2500 0.2500
B1 0.0000 0.0000 0.5000
```

---

2.
Density functional theory data (PBE) for a relaxed SiTc2B crystal.

Cell and atoms, written as CIF:
```
data_SiTc2B
_cell_length_a 5.3552
_cell_length_b 2.9580
_cell_length_c 6.2090
_cell_angle_alpha 90.00
_cell_angle_beta 100.36
_cell_angle_gamma 90.00
_symmetry_space_group_name_H-M 'P 1 21/m 1'
_symmetry_Int_Tables_number 11
loop_
_symmetry_equiv_pos_as_xyz
'x,y,z'
'-x,-y,-z'
'-x,y+1/2,-z'
'x,-y+1/2,z'
loop_
_atom_site_label
_atom_site_fract_x
_atom_site_fract_y
_atom_site_fract_z
Si1 0.0831 0.2500 0.3263
Tc1 0.2783 0.2500 0.9859
Tc2 0.3490 0.7500 0.6194
B1 0.3501 0.7500 0.2556
```

---

Which of them is the least stable? Correct choice: 1.

---

1.
Density functional theory data (PBE) for a relaxed Si2BTe crystal.

Cell and atoms, written as CIF:
```
data_Si2BTe
_cell_length_a 6.4704
_cell_length_b 6.4704
_cell_length_c 6.4704
_cell_angle_alpha 90.00
_cell_angle_beta 90.00
_cell_angle_gamma 90.00
_symmetry_space_group_name_H-M 'F m -3 m'
_symmetry_Int_Tables_number 225
_symmetry_space_group_name_Hall '-F 4 2 3'
loop_
_atom_site_label
_atom_site_fract_x
_atom_site_fract_y
_atom_site_fract_z
Si1 0.2500 0.2500 0.2500
B1 0.0000 0.0000 0.0000
Te1 0.0000 0.0000 0.5000
```

---

2.
Density functional theory data (PBE) for a relaxed Si2BTe crystal.

Cell and atoms, written as CIF:
```
data_Si2BTe
_cell_length_a 5.5537
_cell_length_b 5.5537
_cell_length_c 9.7887
_cell_angle_alpha 90.00
_cell_angle_beta 90.00
_cell_angle_gamma 90.00
_symmetry_space_group_name_H-M 'I -4 2 d'
_symmetry_Int_Tables_number 122
_symmetry_space_group_name_Hall 'I -4 2bw'
loop_
_atom_site_label
_atom_site_fract_x
_atom_site_fract_y
_atom_site_fract_z
Si1 0.1409 0.2500 0.1250
B1 0.0000 0.0000 0.0000
Te1 0.0000 0.0000 0.5000
```

---

Which of them is the least stable? Correct choice: 1.

---

1.
Density functional theory data (PBE) for a relaxed ThSiB crystal.

Cell and atoms, written as CIF:
```
data_ThSiB
_cell_length_a 3.6119
_cell_length_b 3.6119
_cell_length_c 4.4340
_cell_angle_alpha 90.00
_cell_angle_beta 90.00
_cell_angle_gamma 120.00
_symmetry_space_group_name_H-M 'P -6 m 2'
_symmetry_Int_Tables_number 187
_symmetry_space_group_name_Hall 'P -6 2'
loop_
_atom_site_label
_atom_site_fract_x
_atom_site_fract_y
_atom_site_fract_z
Th1 0.0000 0.0000 0.0000
Si1 0.3333 0.6667 0.5000
B1 0.6667 0.3333 0.5000
```

---

2.
Density functional theory data (PBE) for a relaxed ThSiB crystal.

Cell and atoms, written as CIF:
```
data_ThSiB
_cell_length_a 5.9354
_cell_length_b 5.9354
_cell_length_c 10.1317
_cell_angle_alpha 90.00
_cell_angle_beta 90.00
_cell_angle_gamma 120.00
_symmetry_space_group_name_H-M 'P 62 2 2'
_symmetry_Int_Tables_number 180
_symmetry_space_group_name_Hall 'P 62 2 (0 0 4)'
loop_
_atom_site_label
_atom_site_fract_x
_atom_site_fract_y
_atom_site_fract_z
Th1 0.0000 0.0000 0.0000
Th2 0.0000 0.5000 0.1667
Si1 0.0000 0.5000 0.4734
B1 0.1668 0.5834 0.6667
```

---

3.
Density functional theory data (PBE) for a relaxed ThSiB crystal.

Cell and atoms, written as CIF:
```
data_ThSiB
_cell_length_a 3.6054
_cell_length_b 4.3813
_cell_length_c 6.4102
_cell_angle_alpha 90.00
_cell_angle_beta 90.00
_cell_angle_gamma 90.00
_symmetry_space_group_name_H-M 'P m m a'
_symmetry_Int_Tables_number 51
loop_
_symmetry_equiv_pos_as_xyz
'x,y,z'
'-x,-y,-z'
'-x+1/2,-y,z'
'x+1/2,y,-z'
'x+1/2,-y,-z'
'-x+1/2,y,z'
'-x,y,-z'
'x,-y,z'
loop_
_atom_site_label
_atom_site_fract_x
_atom_site_fract_y
_atom_site_fract_z
Th1 0.2500 0.0000 0.2365
Si1 0.2500 0.5000 0.6136
B1 0.2500 0.5000 0.9442
```

---

Which of them is the least stable? Correct choice: 2.

---

1.
Density functional theory data (PBE) for a relaxed Ti2SiB crystal.

Cell and atoms, written as CIF:
```
data_Ti2SiB
_cell_length_a 5.9519
_cell_length_b 5.9519
_cell_length_c 5.9519
_cell_angle_alpha 90.00
_cell_angle_beta 90.00
_cell_angle_gamma 90.00
_symmetry_space_group_name_H-M 'F m -3 m'
_symmetry_Int_Tables_number 225
_symmetry_space_group_name_Hall '-F 4 2 3'
loop_
_atom_site_label
_atom_site_fract_x
_atom_site_fract_y
_atom_site_fract_z
Ti1 0.2500 0.2500 0.2500
Si1 0.0000 0.0000 0.0000
B1 0.0000 0.0000 0.5000
```

---

2.
Density functional theory data (PBE) for a relaxed Ti2SiB crystal.

Cell and atoms, written as CIF:
```
data_Ti2SiB
_cell_length_a 3.1579
_cell_length_b 3.1579
_cell_length_c 19.5167
_cell_angle_alpha 90.00
_cell_angle_beta 90.00
_cell_angle_gamma 120.00
_symmetry_space_group_name_H-M 'R -3 m'
_symmetry_Int_Tables_number 166
_symmetry_space_group_name_Hall '-R 3 2"'
loop_
_atom_site_label
_atom_site_fract_x
_atom_site_fract_y
_atom_site_fract_z
Ti1 0.0000 0.0000 0.2299
Si1 0.0000 0.0000 0.0000
B1 0.0000 0.0000 0.5000
```

---

3.
Density functional theory data (PBE) for a relaxed Ti2SiB crystal.

Cell and atoms, written as CIF:
```
data_Ti2SiB
_cell_length_a 4.8255
_cell_length_b 3.2652
_cell_length_c 6.8501
_cell_angle_alpha 90.00
_cell_angle_beta 109.15
_cell_angle_gamma 90.00
_symmetry_space_group_name_H-M 'P 1 21/m 1'
_symmetry_Int_Tables_number 11
loop_
_symmetry_equiv_pos_as_xyz
'x,y,z'
'-x,-y,-z'
'-x,y+1/2,-z'
'x,-y+1/2,z'
loop_
_atom_site_label
_atom_site_fract_x
_atom_site_fract_y
_atom_site_fract_z
Ti1 0.1960 0.2500 0.4137
Ti2 0.2570 0.7500 0.0608
Si1 0.3629 0.7500 0.7174
B1 0.1396 0.2500 0.7890
```

---

Which of them is the least stable? Correct choice: 1.

---

1.
Density functional theory data (PBE) for a relaxed TlSi2B crystal.

Cell and atoms, written as CIF:
```
data_TlSi2B
_cell_length_a 5.6146
_cell_length_b 5.6146
_cell_length_c 9.7135
_cell_angle_alpha 90.00
_cell_angle_beta 90.00
_cell_angle_gamma 90.00
_symmetry_space_group_name_H-M 'I -4 2 d'
_symmetry_Int_Tables_number 122
_symmetry_space_group_name_Hall 'I -4 2bw'
loop_
_atom_site_label
_atom_site_fract_x
_atom_site_fract_y
_atom_site_fract_z
Tl1 0.0000 0.0000 0.0000
Si1 0.1466 0.2500 0.6250
B1 0.0000 0.0000 0.5000
```

---

2.
Density functional theory data (PBE) for a relaxed TlSi2B crystal.

Cell and atoms, written as CIF:
```
data_TlSi2B
_cell_length_a 6.5413
_cell_length_b 6.5413
_cell_length_c 6.5413
_cell_angle_alpha 90.00
_cell_angle_beta 90.00
_cell_angle_gamma 90.00
_symmetry_space_group_name_H-M 'F m -3 m'
_symmetry_Int_Tables_number 225
_symmetry_space_group_name_Hall '-F 4 2 3'
loop_
_atom_site_label
_atom_site_fract_x
_atom_site_fract_y
_atom_site_fract_z
Tl1 0.0000 0.0000 0.0000
Si1 0.2500 0.2500 0.2500
B1 0.0000 0.0000 0.5000
```

---

Which of them is the least stable? Correct choice: 2.

---

1.
Density functional theory data (PBE) for a relaxed TlSiB3 crystal.

Cell and atoms, written as CIF:
```
data_TlSiB3
_cell_length_a 4.5299
_cell_length_b 4.5299
_cell_length_c 4.5299
_cell_angle_alpha 90.00
_cell_angle_beta 90.00
_cell_angle_gamma 90.00
_symmetry_space_group_name_H-M 'P m -3 m'
_symmetry_Int_Tables_number 221
_symmetry_space_group_name_Hall '-P 4 2 3'
loop_
_atom_site_label
_atom_site_fract_x
_atom_site_fract_y
_atom_site_fract_z
Tl1 0.0000 0.0000 0.0000
Si1 0.5000 0.5000 0.5000
B1 0.0000 0.0000 0.5000
```

---

2.
Density functional theory data (PBE) for a relaxed TlSiB3 crystal.

Cell and atoms, written as CIF:
```
data_TlSiB3
_cell_length_a 4.1405
_cell_length_b 4.1405
_cell_length_c 4.1405
_cell_angle_alpha 90.00
_cell_angle_beta 90.00
_cell_angle_gamma 90.00
_symmetry_space_group_name_H-M 'P m -3 m'
_symmetry_Int_Tables_number 221
_symmetry_space_group_name_Hall '-P 4 2 3'
loop_
_atom_site_label
_atom_site_fract_x
_atom_site_fract_y
_atom_site_fract_z
Tl1 0.0000 0.0000 0.0000
Si1 0.5000 0.5000 0.5000
B1 0.0000 0.5000 0.5000
```

---

Which of them is the least stable? Correct choice: 1.

---

1.
Density functional theory data (PBE) for a relaxed V2Si2B crystal.

Cell and atoms, written as CIF:
```
data_V2Si2B
_cell_length_a 3.2207
_cell_length_b 3.2207
_cell_length_c 12.4251
_cell_angle_alpha 90.00
_cell_angle_beta 90.00
_cell_angle_gamma 90.00
_symmetry_space_group_name_H-M 'I 4/m m m'
_symmetry_Int_Tables_number 139
_symmetry_space_group_name_Hall '-I 4 2'
loop_
_atom_site_label
_atom_site_fract_x
_atom_site_fract_y
_atom_site_fract_z
V1 0.0000 0.0000 0.0919
Si1 0.0000 0.5000 0.2500
B1 0.0000 0.0000 0.5000
```

---

2.
Density functional theory data (PBE) for a relaxed V2Si2B crystal.

Cell and atoms, written as CIF:
```
data_V2Si2B
_cell_length_a 5.8265
_cell_length_b 5.8265
_cell_length_c 3.6254
_cell_angle_alpha 90.00
_cell_angle_beta 90.00
_cell_angle_gamma 90.00
_symmetry_space_group_name_H-M 'P 4/m b m'
_symmetry_Int_Tables_number 127
_symmetry_space_group_name_Hall '-P 4 2ab'
loop_
_atom_site_label
_atom_site_fract_x
_atom_site_fract_y
_atom_site_fract_z
V1 0.1688 0.3312 0.0000
Si1 0.1434 0.6434 0.5000
B1 0.0000 0.0000 0.0000
```

---

Which of them is the least stable? Correct choice: 1.

---

1.
Density functional theory data (PBE) for a relaxed V3SiB crystal.

Cell and atoms, written as CIF:
```
data_V3SiB
_cell_length_a 5.5153
_cell_length_b 5.5153
_cell_length_c 4.5877
_cell_angle_alpha 90.00
_cell_angle_beta 90.00
_cell_angle_gamma 120.00
_symmetry_space_group_name_H-M 'P 63/m m c'
_symmetry_Int_Tables_number 194
_symmetry_space_group_name_Hall '-P 6c 2c'
loop_
_atom_site_label
_atom_site_fract_x
_atom_site_fract_y
_atom_site_fract_z
V1 0.1808 0.3616 0.2500
Si1 0.3333 0.6667 0.7500
B1 0.0000 0.0000 0.0000
```

---

2.
Density functional theory data (PBE) for a relaxed V3SiB crystal.

Cell and atoms, written as CIF:
```
data_V3SiB
_cell_length_a 3.9988
_cell_length_b 3.9988
_cell_length_c 3.9988
_cell_angle_alpha 90.00
_cell_angle_beta 90.00
_cell_angle_gamma 90.00
_symmetry_space_group_name_H-M 'P m -3 m'
_symmetry_Int_Tables_number 221
_symmetry_space_group_name_Hall '-P 4 2 3'
loop_
_atom_site_label
_atom_site_fract_x
_atom_site_fract_y
_atom_site_fract_z
V1 0.0000 0.0000 0.5000
Si1 0.5000 0.5000 0.5000
B1 0.0000 0.0000 0.0000
```

---

Which of them is the least stable? Correct choice: 2.